[1]
Entry from Alexandria via LeMat-Bulk: an optimized crystal structure of ErInOsO6 (PBE).

abc: 5.4333 5.4333 9.0782
angles: 90.00 90.00 120.00
Space group P-31c (No. 163)
Unique sites:
Er1 0.3333 0.6667 0.2500 x2
In1 0.0000 0.0000 0.0000 x2
Os1 0.3333 0.6667 0.7500 x2
O1 0.0394 0.3667 0.6298 x12

energy relative to the elements, uncorrected = -1.771 eV per atom
crystal system = trigonal
E_tot = -7.1359 eV per atom
DOS at the Fermi energy = 7.51 states/eV per cell
calculated volume = 12.89 A^3/atom

***

[2]
Entry from Alexandria via LeMat-Bulk: an optimized crystal structure of Ba3BO5 (PBE).

abc: 7.316 7.316 10.930
angles: 90.00 90.00 90.00
Space group I4/mcm (No. 140)
Unique sites:
Ba1 0.000 0.000 0.250 x4
Ba2 0.181 0.319 0.000 x8
B1 0.000 0.500 0.250 x4
O1 0.000 0.000 0.000 x4
O2 0.116 0.384 0.333 x16

energy relative to the elements, uncorrected = -2.454 eV per atom
crystal system = tetragonal
E_tot = -6.5915 eV per atom
DOS at the Fermi energy = 19.36 states/eV per cell
calculated volume = 16.25 A^3/atom

***

[3]
Entry from Alexandria via LeMat-Bulk: an optimized crystal structure of Sb2NO (PBE).

abc: 6.183 6.183 6.183
angles: 90.00 90.00 90.00
Space group Fm-3m (No. 225)
Unique sites:
Sb1 0.250 0.250 0.250 x8
N1 0.000 0.000 0.000 x4
O1 0.000 0.000 0.500 x4

energy relative to the elements, uncorrected = 0.599 eV per atom
crystal system = cubic
E_tot = -4.7828 eV per atom
excess energy over the best structure of this formula in the dataset = 0.394 eV/atom
DOS at the Fermi energy = 6.30 states/eV per cell
calculated volume = 14.77 A^3/atom

***

[4]
Entry from Alexandria via LeMat-Bulk: an optimized crystal structure of NaLa2HgRu (PBE).

abc: 5.383 5.383 5.537
angles: 90.00 90.00 90.00
Space group P4/mmm (No. 123)
Unique sites:
Na1 0.000 0.000 0.000 x1
La1 0.000 0.500 0.500 x2
Hg1 0.500 0.500 0.000 x1
Ru1 0.500 0.500 0.500 x1

formation energy from the elements = -3.65 kcal/mol of atoms
crystal system = tetragonal
E_tot = -4.3086 eV per atom
excess energy over the best structure of this formula in the dataset = 0.000 eV/atom
DOS at the Fermi energy = 4.85 states/eV per cell
calculated volume = 32.08 A^3/atom

***

[5]
Entry from Alexandria via LeMat-Bulk: an optimized crystal structure of Dy4MgTc (PBE).

abc: 8.902 12.849 6.224
angles: 90.00 108.10 90.00
Space group C2/c (No. 15)
Unique sites:
Dy1 0.105 0.168 0.051 x8
Dy2 0.226 0.416 0.380 x8
Mg1 0.000 0.379 0.750 x4
Tc1 0.000 0.001 0.250 x4

formation energy from the elements = -1.87 kcal/mol of atoms
crystal system = monoclinic
E_tot = -5.1426 eV per atom
DOS at the Fermi energy = 23.67 states/eV per cell
calculated volume = 28.20 A^3/atom

***

[6]
Entry from Alexandria via LeMat-Bulk: an optimized crystal structure of NbP3C (PBE).

abc: 4.036 4.036 4.036
angles: 90.00 90.00 90.00
Space group Pm-3m (No. 221)
Unique sites:
Nb1 0.000 0.000 0.000 x1
P1 0.000 0.500 0.500 x3
C1 0.500 0.500 0.500 x1

formation energy from the elements = 18.43 kcal/mol of atoms
crystal system = cubic
E_tot = -6.3053 eV per atom
excess energy over the best structure of this formula in the dataset = 0.000 eV/atom
DOS at the Fermi energy = 2.92 states/eV per cell
calculated volume = 13.15 A^3/atom

***

[7]
Entry from Alexandria via LeMat-Bulk: an optimized crystal structure of PmNd2Ga6 (PBE).

abc: 4.431 7.208 13.536
angles: 90.00 90.00 90.00
Space group Immm (No. 71)
Unique sites:
Pm1 0.000 0.000 0.000 x2
Nd1 0.000 0.500 0.131 x4
Ga1 0.000 0.186 0.500 x4
Ga2 0.000 0.312 0.323 x8

formation energy from the elements = -10.36 kcal/mol of atoms
crystal system = orthorhombic
E_tot = -4.0545 eV per atom
excess energy over the best structure of this formula in the dataset = 0.237 eV/atom
DOS at the Fermi energy = 9.80 states/eV per cell
calculated volume = 24.02 A^3/atom

***

[8]
Entry from Alexandria via LeMat-Bulk: an optimized crystal structure of Ba2Sn2Bi3 (PBE).

abc: 5.592 4.636 10.894
angles: 90.00 103.33 90.00
Space group P2/m (No. 10)
Unique sites:
Ba1 0.136 0.000 0.278 x2
Sn1 0.431 0.500 0.850 x2
Bi1 0.000 0.500 0.000 x1
Bi2 0.281 0.500 0.567 x2

formation energy from the elements = -9.39 kcal/mol of atoms
crystal system = monoclinic
E_tot = -3.7636 eV per atom
DOS at the Fermi energy = 4.43 states/eV per cell
calculated volume = 39.26 A^3/atom